Material: ScGaMo2Pb
Method: DFT, PBE
State: optimized geometry

The calculation puts the total energy at -27.4 eV per cell. Its formation energy from the elements is 1470 meV per atom.

Lattice parameters (Å, degrees): 4.8023 4.8023 5.0796 90.00 90.00 90.00
Fractional coordinates of all 5 atoms:
Sc1 0.0000 0.0000 0.0000
Ga1 0.0000 0.0000 0.5000
Mo1 0.0000 0.5000 0.0000
Mo2 0.5000 0.0000 0.0000
Pb1 0.5000 0.5000 0.5000


Material: Rb2RhPbBr6
Method: DFT, PBE
State: optimized geometry

The calculation puts the total energy at -32.9 eV per cell. The calculation puts the uncorrected formation energy at -9.911 eV/f.u.

Lattice parameters (Å, degrees): 7.8528 7.8528 7.8528 120.10 120.10 89.82
Fractional coordinates of all 10 atoms:
Rb1 0.2500 0.7500 0.5000
Rb2 0.7500 0.2500 0.5000
Rh1 0.0000 0.0000 0.0000
Pb1 0.5000 0.5000 0.0000
Br1 0.2325 0.2325 0.4649
Br2 0.2325 0.7675 0.0000
Br3 0.2329 0.2329 0.0000
Br4 0.7671 0.7671 0.0000
Br5 0.7675 0.2325 0.0000
Br6 0.7675 0.7675 0.5351


Question: Number 1 is which compound?
Answer: ScGaMo2Pb


Please write out number 2 again, unchanged.
Material: Rb2RhPbBr6
Method: DFT, PBE
State: optimized geometry

The calculation puts the total energy at -32.9 eV per cell. The calculation puts the uncorrected formation energy at -9.911 eV/f.u.

Lattice parameters (Å, degrees): 7.8528 7.8528 7.8528 120.10 120.10 89.82
Fractional coordinates of all 10 atoms:
Rb1 0.2500 0.7500 0.5000
Rb2 0.7500 0.2500 0.5000
Rh1 0.0000 0.0000 0.0000
Pb1 0.5000 0.5000 0.0000
Br1 0.2325 0.2325 0.4649
Br2 0.2325 0.7675 0.0000
Br3 0.2329 0.2329 0.0000
Br4 0.7671 0.7671 0.0000
Br5 0.7675 0.2325 0.0000
Br6 0.7675 0.7675 0.5351